DFT (PBE+U) results for a relaxed Rb2FeClF6 crystal.

abc: 6.5459 6.5459 6.5459
angles: 124.18 124.18 82.91
Fractional positions:
Rb 0.2500 0.7500 0.5000
Rb 0.7500 0.2500 0.5000
Fe 0.0000 0.0000 0.0000
Cl 0.5000 0.5000 0.0000
F 0.1945 0.1945 0.0000
F 0.2243 0.2243 0.4486
F 0.2243 0.7757 0.0000
F 0.7757 0.2243 0.0000
F 0.7757 0.7757 0.5514
F 0.8055 0.8055 0.0000

magnetic moment: 3.00 Bohr magnetons per cell
raw total energy: -41.7 eV/cell